Record 1
A geometry-optimized Cr3Tc structure, computed with PBEsol.

Calculated values
The value obtained for the density is 8.84 g cm⁻³. Its space group is Immm (71). The formation energy comes out at 0.0475 eV/atom.

Cell lengths 2.8767, 4.0878, 4.7633 Å; angles 115.41, 107.58, 90.00 degrees
Element x y z (fractional)
Cr: 0.7560 0.7560 0.5121
Cr: 0.5000 0.0000 0.0000
Cr: 0.2440 0.2440 0.4879
Tc: 0.0000 0.5000 0.0000



Record 2
A geometry-optimized RuRh structure, computed with PBEsol.

Calculated values
The value obtained for the density is 12.66 g cm⁻³. Its space group is I4_1/amd (141). The formation energy comes out at 0.0561 eV/atom.

Cell lengths 3.7699, 3.7699, 4.6122 Å; angles 114.12, 114.12, 90.00 degrees
Element x y z (fractional)
Ru: 0.2500 0.7500 0.5000
Ru: 0.0000 0.0000 0.0000
Rh: 0.7500 0.2500 0.5000
Rh: 0.5000 0.5000 0.0000



Record 3
A geometry-optimized YInIr2 structure, computed with PBEsol.

Calculated values
The value obtained for the density is 13.79 g cm⁻³. Its space group is I-4m2 (119). The formation energy comes out at -0.3715 eV/atom.

Cell lengths 3.9564, 3.9564, 5.3201 Å; angles 111.83, 111.83, 90.00 degrees
Element x y z (fractional)
Ir: 0.2500 0.7500 0.5000
Ir: 0.0000 0.0000 0.0000
In: 0.7500 0.2500 0.5000
Y: 0.5000 0.5000 0.0000



Record 4
A geometry-optimized Na3TiFe3O8 structure, computed with PBEsol.

Calculated values
The value obtained for the density is 4.53 g cm⁻³. Its space group is P2/m (10). Its energy is -7.17 eV per atom.

Cell lengths 4.8725, 5.6733, 5.7331 Å; angles 90.00, 90.00, 107.38 degrees
Site moments in Bohr magnetons follow the coordinates.
Element x y z (fractional)
Na: 0.0000 0.0000 0.7615  0.00
Na: 0.0000 0.0000 0.2385  0.00
Na: 0.5000 0.0000 0.5000  0.00
O: 0.2340 0.6933 0.7427  0.02
O: 0.2340 0.6933 0.2573  0.02
O: 0.2677 0.3119 0.5000  0.00
O: 0.2772 0.3079 0.0000  0.03
O: 0.7660 0.3067 0.2573  0.02
O: 0.7228 0.6921 0.0000  0.03
O: 0.7323 0.6881 0.5000  0.00
O: 0.7660 0.3067 0.7427  0.02
Fe: 0.5000 0.5000 0.7495  0.97
Fe: 0.5000 0.5000 0.2505  0.97
Fe: 0.0000 0.5000 0.5000  1.06
Ti: 0.0000 0.5000 0.0000  -0.14



Record 5
A geometry-optimized Ba3P2 structure, computed with PBEsol.

Calculated values
The value obtained for the density is 4.57 g cm⁻³. Its space group is I-42d (122). The formation energy comes out at -0.9868 eV/atom.

Cell lengths 9.7209, 9.7209, 16.1202 Å; angles 107.55, 107.55, 90.00 degrees
Element x y z (fractional)
Ba: 0.6216 0.4970 0.8702
Ba: 0.6232 0.9986 0.3702
Ba: 0.9209 0.0406 0.2184
Ba: 0.1028 0.6831 0.0368
Ba: 0.9340 0.3537 0.0368
Ba: 0.3291 0.5723 0.2816
Ba: 0.9525 0.7094 0.2816
Ba: 0.1472 0.3963 0.4632
Ba: 0.9594 0.7025 0.7816
Ba: 0.3169 0.0660 0.9632
Ba: 0.6463 0.8972 0.9632
Ba: 0.5030 0.7514 0.1298
Ba: 0.6284 0.3768 0.6298
Ba: 0.4277 0.0475 0.7184
Ba: 0.3160 0.0669 0.4632
Ba: 0.6037 0.6840 0.5368
Ba: 0.8223 0.0791 0.7816
Ba: 0.6268 0.3784 0.1298
Ba: 0.2486 0.3732 0.8702
Ba: 0.9331 0.8528 0.5368
Ba: 0.0014 0.2530 0.6298
Ba: 0.7470 0.3716 0.3702
Ba: 0.2906 0.6709 0.7184
Ba: 0.2975 0.1777 0.2184
P: 0.2466 0.8750 0.2500
P: 0.2786 0.4023 0.0772
P: 0.5846 0.0846 0.1693
P: 0.9250 0.5487 0.5772
P: 0.1250 0.9966 0.7500
P: 0.9154 0.4154 0.8307
P: 0.3250 0.7214 0.9228
P: 0.7987 0.6750 0.0772
P: 0.4513 0.3477 0.4228
P: 0.9714 0.0750 0.4228
P: 0.6654 0.6654 0.3307
P: 0.5977 0.2013 0.9228
P: 0.0034 0.3750 0.2500
P: 0.6523 0.0286 0.5772
P: 0.3346 0.3346 0.6693
P: 0.6250 0.7534 0.7500



Record 6
A geometry-optimized SrNiBr structure, computed with PBEsol.

Calculated values
The value obtained for the density is 4.84 g cm⁻³. Its space group is F-43m (216). Its energy is -3.34 eV per atom.

Cell lengths 4.7886, 4.7886, 4.7886 Å; angles 60.00, 60.00, 60.00 degrees
Element x y z (fractional)
Br: 0.2500 0.2500 0.2500
Ni: 0.0000 0.0000 0.0000
Sr: 0.5000 0.5000 0.5000



Record 7
A geometry-optimized LaHSe2N structure, computed with PBEsol.

Calculated values
The value obtained for the density is 6.46 g cm⁻³. Its space group is P4/mmm (123). Its energy is -5.09 eV per atom.

Cell lengths 3.8739, 3.8739, 5.3391 Å; angles 90.00, 90.00, 90.00 degrees
Site moments in Bohr magnetons follow the coordinates.
Element x y z (fractional)
H: 0.0000 0.0000 0.0000  0.00
Se: 0.5000 0.0000 0.0000  0.05
Se: 0.0000 0.5000 0.0000  0.05
La: 0.5000 0.5000 0.5000  -0.02
N: 0.0000 0.0000 0.5000  0.61



Record 8
A geometry-optimized AgSbW2 structure, computed with PBEsol.

Calculated values
The value obtained for the density is 13.17 g cm⁻³. Its space group is R3m (160). Its energy is -8.36 eV per atom.

Cell lengths 3.1187, 3.1187, 9.1207 Å; angles 80.16, 80.16, 60.00 degrees
Element x y z (fractional)
Sb: 0.2551 0.2551 0.2347
W: 0.7419 0.7419 0.7743
W: 0.0091 0.0091 0.9727
Ag: 0.4939 0.4939 0.5183